1.
Density functional theory data (PBE) for a relaxed Li2AgI2Cl crystal.

a b c (Å): 7.1925 7.6221 7.6928
angles (deg): 119.70 90.00 90.00
With the nearest neighbours (Å) after each atom.
Positions (direct):
Li  0.7930  0.8352  0.2966  1 Cl 2.37
Li  0.7930  0.5386  0.7034  1 Cl 2.37
Li  0.2930  0.4614  0.2966  1 Cl 2.37
Li  0.2930  0.1648  0.7034  1 Cl 2.37
Ag  0.3273  0.8309  0.0000  2 Cl 2.68-2.73, 2 I 2.82
Ag  0.8273  0.1691  0.0000  2 Cl 2.68-2.73, 2 I 2.82
I  0.1798  0.8331  0.3407  3 Li 2.80, 1 Ag 2.82
I  0.1798  0.4924  0.6593  3 Li 2.80, 1 Ag 2.82
I  0.6798  0.1669  0.6593  3 Li 2.80, 1 Ag 2.82
I  0.6798  0.5076  0.3407  3 Li 2.80, 1 Ag 2.82
Cl  0.7005  0.8319  0.0000  2 Li 2.37
Cl  0.2005  0.1681  0.0000  2 Li 2.37

Summary:
The calculation puts the energy relative to the elements, uncorrected at -1.0263 eV/atom. The magnetization comes out at 0.00 μB per cell.



2.
Density functional theory data (PBE) for a relaxed LiAg2I2Cl crystal.

a b c (Å): 7.2807 7.6734 7.7517
angles (deg): 119.67 90.00 90.00
With the nearest neighbours (Å) after each atom.
Positions (direct):
Li  0.6459  0.8822  0.0000  2 Cl 2.38-2.39
Li  0.1459  0.1178  0.0000  2 Cl 2.38-2.39
Ag  0.1980  0.8347  0.3193  1 Cl 2.70, 3 I 2.84-2.85
Ag  0.1980  0.5154  0.6807  1 Cl 2.70, 3 I 2.84-2.85
Ag  0.6980  0.1653  0.6807  1 Cl 2.70, 3 I 2.84-2.85
Ag  0.6980  0.4846  0.3193  1 Cl 2.70, 3 I 2.84-2.85
I  0.8062  0.8362  0.3103  3 Ag 2.84-2.85, 1 Li 2.85
I  0.8062  0.5260  0.6897  3 Ag 2.84-2.85, 1 Li 2.85
I  0.3062  0.4740  0.3103  3 Ag 2.84-2.85, 1 Li 2.85
I  0.3062  0.1638  0.6897  3 Ag 2.84-2.85, 1 Li 2.85
Cl  0.3189  0.8540  0.0000  2 Li 2.38-2.39
Cl  0.8189  0.1460  0.0000  2 Li 2.38-2.39

Summary:
The calculation puts the energy relative to the elements, uncorrected at -0.7028 eV/atom. The magnetization comes out at 0.00 μB per cell.



3.
Density functional theory data (PBE) for a relaxed MnAgICl2 crystal.

a b c (Å): 4.4896 7.8479 11.0268
angles (deg): 117.58 90.00 90.00
With the nearest neighbours (Å) after each atom.
Positions (direct):
Mn  0.2500  0.9189  0.8372  4 Cl 2.32-2.59
Mn  0.7500  0.0811  0.1628  4 Cl 2.32-2.59
Ag  0.7500  0.3940  0.5267  1 Cl 2.58, 2 I 2.87
Ag  0.2500  0.6060  0.4733  1 Cl 2.58, 2 I 2.87
I  0.7500  0.4889  0.2898  1 Mn 2.84, 3 Ag 2.87-3.03
I  0.2500  0.5111  0.7102  1 Mn 2.84, 3 Ag 2.87-3.03
Cl  0.7500  0.0775  0.9265  3 Mn 2.53-2.59
Cl  0.2500  0.9225  0.0735  3 Mn 2.53-2.59
Cl  0.2500  0.9672  0.6452  1 Mn 2.32, 1 Ag 2.58
Cl  0.7500  0.0328  0.3548  1 Mn 2.32, 1 Ag 2.58

Summary:
The calculation puts the energy relative to the elements, uncorrected at -0.6597 eV/atom. The magnetization comes out at 10.00 μB per cell.



4.
Density functional theory data (PBE) for a relaxed MnAg3I2Cl6 crystal.

a b c (Å): 6.0514 7.5240 7.9235
angles (deg): 118.35 91.69 90.00
With the nearest neighbours (Å) after each atom.
Positions (direct):
Mn  0.5000  0.0000  0.0000  6 Cl 2.28-2.31
Ag  0.0000  0.5000  0.0000  2 I 2.78, 4 Cl 2.93
Ag  0.5000  0.5000  0.5000  2 I 2.81, 4 Cl 2.84
Ag  0.5000  0.0000  0.5000  2 I 2.81, 4 Cl 2.84
I  0.1833  0.6858  0.3716  3 Ag 2.78-2.81
I  0.8167  0.3142  0.6284  3 Ag 2.78-2.81
Cl  0.7148  0.2921  0.1449  1 Mn 2.31
Cl  0.2852  0.7079  0.8551  1 Mn 2.31
Cl  0.7230  0.8711  0.7423  1 Mn 2.28
Cl  0.2770  0.1289  0.2577  1 Mn 2.28
Cl  0.2852  0.1471  0.8551  1 Mn 2.31
Cl  0.7148  0.8529  0.1449  1 Mn 2.31

Summary:
The calculation puts the energy relative to the elements, uncorrected at -0.4942 eV/atom. The magnetization comes out at 2.38 μB per cell.



5.
Density functional theory data (PBE) for a relaxed AgI2NCl crystal.

a b c (Å): 6.9703 6.9703 3.3151
angles (deg): 90.00 90.00 90.00
With the nearest neighbours (Å) after each atom.
Positions (direct):
I  0.0000  0.5000  0.0000  2 I 3.32, 2 Cl 3.49
I  0.5000  0.0000  0.0000  2 I 3.32, 2 Cl 3.49
N  0.0000  0.0000  0.5000  2 Cl 1.66
Ag  0.5000  0.5000  0.5000  2 Ag 3.32
Cl  0.0000  0.0000  0.0000  2 N 1.66

Summary:
The calculation puts the energy relative to the elements, uncorrected at 1.0755 eV/atom. The magnetization comes out at 0.00 μB per cell. Its energy above the most stable polymorph in this dataset is 47 meV per atom.



6.
Density functional theory data (PBE) for a relaxed AgI2NCl crystal.

a b c (Å): 5.8679 5.8679 4.1167
angles (deg): 90.00 90.00 90.00
With the nearest neighbours (Å) after each atom.
Positions (direct):
I  0.0000  0.5000  0.0000  2 Ag 2.93
I  0.5000  0.0000  0.0000  2 Ag 2.93
N  0.0000  0.0000  0.5000  2 Ag 2.06
Ag  0.0000  0.0000  0.0000  2 N 2.06
Cl  0.5000  0.5000  0.5000  8 I 3.58

Summary:
The calculation puts the energy relative to the elements, uncorrected at 1.0287 eV/atom. The magnetization comes out at 3.72 μB per cell. Its energy above the most stable polymorph in this dataset is 0 meV per atom.



7.
Density functional theory data (PBE) for a relaxed Na2AgI2Cl2 crystal.

a b c (Å): 5.1521 5.1521 8.9317
angles (deg): 106.76 106.76 90.00
With the nearest neighbours (Å) after each atom.
Positions (direct):
Na  0.3818  0.3818  0.7637  4 Cl 3.22, 1 I 3.35
Na  0.6182  0.6182  0.2363  4 Cl 3.22, 1 I 3.35
Ag  0.0000  0.0000  0.0000  4 Cl 2.58, 2 I 2.88
I  0.1765  0.1765  0.3531  1 Ag 2.88
I  0.8235  0.8235  0.6469  1 Ag 2.88
Cl  0.0000  0.5000  0.0000  2 Ag 2.58
Cl  0.5000  0.0000  0.0000  2 Ag 2.58

Summary:
The calculation puts the energy relative to the elements, uncorrected at -0.8666 eV/atom. The magnetization comes out at 0.00 μB per cell.



8.
Density functional theory data (PBE) for a relaxed NaAg2ICl6 crystal.

a b c (Å): 7.6220 7.0615 9.1958
angles (deg): 59.54 49.87 58.23
With the nearest neighbours (Å) after each atom.
Positions (direct):
Na  0.8302  0.7806  0.5142  4 Cl 2.69-2.92
Ag  0.5019  0.4942  0.3882  4 Cl 2.51-2.66
Ag  0.0111  0.0925  0.9113  3 Cl 2.54-2.56
I  0.3042  0.3258  0.0523  4 Cl 2.48-2.68
Cl  0.7063  0.1463  0.2576  2 Ag 2.54, 1 Na 2.69
Cl  0.2671  0.9353  0.2999  1 I 2.55, 1 Ag 2.65
Cl  0.8878  0.5426  0.2966  1 I 2.58, 1 Ag 2.66
Cl  0.3533  0.7371  0.7959  1 Ag 2.54, 1 I 2.68
Cl  0.7073  0.1269  0.8104  1 I 2.48
Cl  0.0924  0.4804  0.6888  2 Ag 2.51-2.56, 1 Na 2.70

Summary:
The calculation puts the energy relative to the elements, uncorrected at -0.5874 eV/atom. The magnetization comes out at 0.00 μB per cell.



9.
Density functional theory data (PBE) for a relaxed Na2AgICl6 crystal.

a b c (Å): 7.0104 7.8462 7.6313
angles (deg): 68.54 63.26 57.44
With the nearest neighbours (Å) after each atom.
Positions (direct):
Na  0.4783  0.5391  0.4686  4 Cl 2.71-3.00
Na  0.0674  0.0304  0.9413  5 Cl 2.71-3.03
Ag  0.7988  0.8315  0.5081  2 Cl 2.42-2.43
I  0.3347  0.3241  0.0287  4 Cl 2.52-2.57
Cl  0.5824  0.2307  0.2415  1 I 2.55
Cl  0.1607  0.8694  0.2967  1 Ag 2.43, 1 Na 2.71
Cl  0.9504  0.5178  0.2805  1 I 2.52
Cl  0.4526  0.7684  0.6952  1 Ag 2.42
Cl  0.7225  0.1416  0.7594  1 I 2.57
Cl  0.1138  0.4084  0.7951  1 I 2.56

Summary:
The calculation puts the energy relative to the elements, uncorrected at -0.8601 eV/atom. The magnetization comes out at 0.00 μB per cell.



10.
Density functional theory data (PBE) for a relaxed NaAg2ICl8 crystal.

a b c (Å): 7.6031 6.7723 7.5059
angles (deg): 89.99 90.00 87.23
With the nearest neighbours (Å) after each atom.
Positions (direct):
Na  0.0000  0.0000  0.5000  4 Cl 2.69
Ag  0.5000  0.5000  0.7507  4 Cl 2.48-2.50
Ag  0.5000  0.5000  0.2493  4 Cl 2.48-2.50
I  0.0000  0.0000  0.0000  4 Cl 2.53
Cl  0.1131  0.7581  0.2352  1 I 2.53, 1 Na 2.69
Cl  0.6018  0.7065  0.0000  2 Ag 2.48
Cl  0.8871  0.2420  0.2351  1 I 2.53, 1 Na 2.69
Cl  0.8869  0.2419  0.7648  1 I 2.53, 1 Na 2.69
Cl  0.3982  0.2935  0.0000  2 Ag 2.48
Cl  0.1129  0.7580  0.7649  1 I 2.53, 1 Na 2.69
Cl  0.6088  0.7043  0.5000  2 Ag 2.50
Cl  0.3912  0.2957  0.5000  2 Ag 2.50

Summary:
The calculation puts the energy relative to the elements, uncorrected at -0.5150 eV/atom. The magnetization comes out at 1.53 μB per cell.



11.
Density functional theory data (PBE) for a relaxed NaAg2I2Cl crystal.

a b c (Å): 7.7256 8.0062 7.8592
angles (deg): 120.62 90.00 90.00
With the nearest neighbours (Å) after each atom.
Positions (direct):
Na  0.3551  0.8695  0.0000  2 Cl 2.68-2.69
Na  0.8551  0.1305  0.0000  2 Cl 2.68-2.69
Ag  0.7952  0.8324  0.3294  1 Cl 2.68, 3 I 2.84-2.85
Ag  0.7952  0.5029  0.6706  1 Cl 2.68, 3 I 2.84-2.85
Ag  0.2952  0.4971  0.3294  1 Cl 2.68, 3 I 2.84-2.85
Ag  0.2952  0.1676  0.6706  1 Cl 2.68, 3 I 2.84-2.85
I  0.1642  0.8302  0.3315  3 Ag 2.84-2.85, 1 Na 3.15
I  0.1642  0.4987  0.6685  3 Ag 2.84-2.85, 1 Na 3.15
I  0.6642  0.1698  0.6685  3 Ag 2.84-2.85, 1 Na 3.15
I  0.6642  0.5013  0.3315  3 Ag 2.84-2.85, 1 Na 3.15
Cl  0.6994  0.8295  0.0000  2 Na 2.68-2.69, 2 Ag 2.68
Cl  0.1994  0.1705  0.0000  2 Na 2.68-2.69, 2 Ag 2.68

Summary:
The calculation puts the energy relative to the elements, uncorrected at -0.6981 eV/atom. The magnetization comes out at 0.00 μB per cell.